Entry 1:
## TbDyTh (PBE)

Data for TbDyTh after structural relaxation.

Results
Crystal system: tetragonal

```
3
Lattice="-1.791 1.791 7.490 1.791 -1.791 7.490 1.791 1.791 -7.490" Properties=species:S:1:pos:R:3 pbc="T T T"
Tb 0.000 0.000 0.000
Dy 0.000 0.000 10.157
Th 0.000 0.000 5.073
```

Entry 2:
## Tb16Dy6Th7 (PBE)

Data for Tb16Dy6Th7 after structural relaxation.

Results
Crystal system: cubic

```
29
Lattice="0.000 7.959 7.959 7.959 0.000 7.959 7.959 7.959 0.000" Properties=species:S:1:pos:R:3 pbc="T T T"
Tb 10.382 5.535 5.535
Tb 2.067 2.067 2.067
Tb 5.892 5.892 2.067
Tb 5.892 2.067 5.892
Tb 5.535 5.535 5.535
Tb 10.382 10.382 5.535
Tb 10.382 5.535 10.382
Tb 13.851 10.026 10.026
Tb 2.067 5.892 5.892
Tb 5.535 10.382 5.535
Tb 5.535 5.535 10.382
Tb 10.382 10.382 10.382
Tb 10.026 13.851 10.026
Tb 10.026 10.026 13.851
Tb 13.851 13.851 13.851
Tb 5.535 10.382 10.382
Dy 7.959 7.959 4.028
Dy 7.959 4.028 7.959
Dy 11.890 7.959 7.959
Dy 4.028 7.959 7.959
Dy 7.959 11.890 7.959
Dy 7.959 7.959 11.890
Th 0.000 0.000 0.000
Th 3.979 3.979 0.000
Th 3.979 0.000 3.979
Th 7.959 3.979 3.979
Th 0.000 3.979 3.979
Th 3.979 7.959 3.979
Th 3.979 3.979 7.959
```

Entry 3:
## TbDy2Th4 (PBE)

Data for TbDy2Th4 after structural relaxation.

Results
Crystal system: orthorhombic

```
7
Lattice="1.784 -18.009 0.000 1.784 18.009 0.000 0.000 0.000 3.554" Properties=species:S:1:pos:R:3 pbc="T T T"
Tb 0.000 0.000 0.000
Dy 1.784 7.483 1.777
Dy 1.784 -7.483 1.777
Th 1.784 12.962 0.000
Th 1.784 2.588 1.777
Th 1.784 -2.588 1.777
Th 1.784 -12.962 0.000
```

Entry 4:
## Tb2DyTh4 (PBE)

Data for Tb2DyTh4 after structural relaxation.

Results
Crystal system: orthorhombic

```
7
Lattice="1.785 -18.017 0.000 1.785 18.017 0.000 0.000 0.000 3.558" Properties=species:S:1:pos:R:3 pbc="T T T"
Tb 1.785 10.541 0.000
Tb 1.785 -10.541 0.000
Dy 1.785 0.000 1.779
Th 1.785 15.443 0.000
Th 1.785 5.030 1.779
Th 1.785 -5.030 1.779
Th 1.785 -15.443 0.000
```

Entry 5:
## Tb12DyTh6 (PBE)

Data for Tb12DyTh6 after structural relaxation.

Results
Crystal system: trigonal

```
19
Lattice="6.538 3.775 4.294 -6.538 3.775 4.294 0.000 -7.549 4.294" Properties=species:S:1:pos:R:3 pbc="T T T"
Tb -1.711 -4.585 4.294
Tb -4.826 0.811 4.294
Tb -2.740 -1.582 5.759
Tb 1.711 -4.585 4.294
Tb -3.115 3.775 4.294
Tb 0.000 -3.164 7.124
Tb -2.740 1.582 7.124
Tb 2.740 -1.582 5.759
Tb 0.000 3.164 5.759
Tb 4.826 0.811 4.294
Tb 3.115 3.775 4.294
Tb 2.740 1.582 7.124
Dy 0.000 0.000 0.000
Th 0.000 -2.036 2.923
Th -1.764 1.018 2.923
Th 1.764 1.018 2.923
Th -1.764 -1.018 9.960
Th 1.764 -1.018 9.960
Th 0.000 2.036 9.960
```

Entry 6:
## Tb3Dy4Th2 (PBE)

Data for Tb3Dy4Th2 after structural relaxation.

Results
Crystal system: monoclinic

```
9
Lattice="9.318 -1.795 0.000 9.318 1.795 0.000 -4.124 0.000 8.569" Properties=species:S:1:pos:R:3 pbc="T T T"
Tb 0.000 0.000 0.000
Tb 0.016 0.000 5.752
Tb 14.496 0.000 2.816
Dy 2.084 0.000 2.828
Dy 6.230 0.000 5.720
Dy 8.282 0.000 2.849
Dy 12.429 0.000 5.741
Th 2.067 0.000 8.563
Th 12.446 0.000 0.006
```

Record order is preserved below.
E_tot: -5.53, -5.02, -6.13, -6.14, -5.35, -5.24 eV per atom
Record order is preserved below.
Ρ: 9.6, 8.5, 10.3, 10.2, 9.0, 9.2 g cm⁻³